Record 1
Below is a relaxed structure of Ta2CrIn, with properties calculated at the PBE level.

Cell lengths 3.9819, 3.9819, 4.4335 Å; angles 90.00, 90.00, 90.00 degrees
Fractional coordinates of all 4 atoms:
Ta 0.0000 0.5000 0.0000
Ta 0.5000 0.0000 0.0000
Cr 0.0000 0.0000 0.5000
In 0.5000 0.5000 0.5000

Properties
theoretical density = 12.49 g cm⁻³
total magnetic moment = 0.440 μB/atom
energy = -8.77 eV per atom

***

Record 2
Below is a relaxed structure of Tm2PuRu3, with properties calculated at the PBE level.

Cell lengths 7.5069, 7.5069, 6.7448 Å; angles 90.00, 90.00, 143.14 degrees
Fractional coordinates of all 12 atoms:
Tm 0.0000 0.0000 0.0000
Tm 0.0000 0.0000 0.5000
Tm 0.3341 0.6659 0.0000
Tm 0.6659 0.3341 0.0000
Pu 0.3357 0.6643 0.5000
Pu 0.6643 0.3357 0.5000
Ru 0.1705 0.8295 0.2637
Ru 0.1705 0.8295 0.7363
Ru 0.5000 0.5000 0.2585
Ru 0.5000 0.5000 0.7415
Ru 0.8295 0.1705 0.2637
Ru 0.8295 0.1705 0.7363

Properties
theoretical density = 12.89 g cm⁻³
total magnetic moment = 0.606 μB/atom
E above lowest polymorph = 0.000 eV/atom

***

Record 3
Below is a relaxed structure of BaErAg2O4, with properties calculated at the PBE level.

Cell lengths 5.6325, 5.6325, 5.6325 Å; angles 115.83, 113.40, 99.62 degrees
Fractional coordinates of all 8 atoms:
Ba 0.0000 0.0000 0.0000
Er 0.5000 0.5000 0.0000
Ag 0.2895 0.7895 0.5000
Ag 0.7105 0.2105 0.5000
O 0.1233 0.1153 0.6043
O 0.4890 0.8847 0.0080
O 0.5110 0.5190 0.3957
O 0.8767 0.4810 0.9920

Properties
theoretical density = 7.21 g cm⁻³
total magnetic moment = 0.000 μB/atom
energy = -5.73 eV per atom

***

Record 4
Below is a relaxed structure of ZrTcSb2Te, with properties calculated at the PBE level.

Cell lengths 5.0149, 5.0149, 5.5801 Å; angles 90.00, 90.00, 90.00 degrees
Fractional coordinates of all 5 atoms:
Zr 0.0000 0.0000 0.0000
Tc 0.5000 0.5000 0.5000
Sb 0.0000 0.5000 0.5000
Sb 0.5000 0.0000 0.5000
Te 0.5000 0.5000 0.0000

Properties
theoretical density = 6.63 g cm⁻³
total magnetic moment = 0.385 μB/atom
E above lowest polymorph = 0.000 eV/atom

***

Record 5
Below is a relaxed structure of Pm2HfPd9, with properties calculated at the PBE level.

Cell lengths 4.1179, 4.1179, 12.4258 Å; angles 90.00, 90.00, 90.00 degrees
Fractional coordinates of all 12 atoms:
Pm 0.0000 0.0000 0.1708
Pm 0.0000 0.0000 0.8292
Hf 0.0000 0.0000 0.5000
Pd 0.0000 0.5000 0.0000
Pd 0.0000 0.5000 0.3462
Pd 0.0000 0.5000 0.6538
Pd 0.5000 0.0000 0.0000
Pd 0.5000 0.0000 0.3462
Pd 0.5000 0.0000 0.6538
Pd 0.5000 0.5000 0.1733
Pd 0.5000 0.5000 0.5000
Pd 0.5000 0.5000 0.8267

Properties
theoretical density = 11.24 g cm⁻³
total magnetic moment = 0.000 μB/atom
energy = -6.35 eV per atom

***

Record 6
Below is a relaxed structure of K3ThCd2O6, with properties calculated at the PBE level.

Cell lengths 6.0957, 6.0957, 6.5907 Å; angles 98.32, 98.32, 120.68 degrees
Fractional coordinates of all 12 atoms:
K 0.0000 0.0000 0.0000
K 0.3236 0.6764 0.0000
K 0.6764 0.3236 0.0000
Th 0.5000 0.5000 0.5000
Cd 0.1668 0.8332 0.5000
Cd 0.8332 0.1668 0.5000
O 0.1079 0.4296 0.3031
O 0.2468 0.2468 0.7032
O 0.4296 0.1079 0.3031
O 0.5704 0.8921 0.6969
O 0.7532 0.7532 0.2968
O 0.8921 0.5704 0.6969

Properties
theoretical density = 5.53 g cm⁻³
total magnetic moment = 0.094 μB/atom
energy = -5.29 eV per atom

***

Record 7
Below is a relaxed structure of Sc2CrInGe, with properties calculated at the PBE level.

Cell lengths 5.3781, 5.3781, 5.0497 Å; angles 90.00, 90.00, 90.00 degrees
Fractional coordinates of all 5 atoms:
Sc 0.0000 0.5000 0.0000
Sc 0.5000 0.0000 0.0000
Cr 0.0000 0.0000 0.5000
In 0.5000 0.5000 0.0000
Ge 0.5000 0.5000 0.5000

Properties
theoretical density = 3.74 g cm⁻³
total magnetic moment = 1.000 μB/atom
energy = -4.97 eV per atom

***

Record 8
Below is a relaxed structure of Pm2Sm2Dy2Mg, with properties calculated at the PBE level.

Cell lengths 6.1400, 6.1400, 11.7331 Å; angles 111.41, 111.41, 33.73 degrees
Fractional coordinates of all 7 atoms:
Pm 0.0467 0.0467 0.2619
Pm 0.9533 0.9533 0.7381
Sm 0.2638 0.2638 0.1380
Sm 0.7362 0.7362 0.8620
Dy 0.1704 0.1704 0.5835
Dy 0.8296 0.8296 0.4165
Mg 0.5000 0.5000 0.0000

Properties
theoretical density = 6.88 g cm⁻³
total magnetic moment = 0.000 μB/atom
energy = -4.16 eV per atom